The following is a DFT calculation (GGA-PBE) of Pb2C after structural relaxation.

a = 6.706 Å, b = 6.706 Å, c = 6.706 Å
α = 151.41°, β = 151.41°, γ = 40.87°
Element x y z (fractional)
Pb  0.122  0.122  0.000
Pb  0.878  0.878  0.000
C  0.500  0.500  0.000

Calculated values
- Magnetic moment: 0.0 μB per formula unit
- Formation enthalpy at 0 K: 134 kJ/mol of atoms
- SG: I4/mmm
- Total energy: -0.3059 Ry per atom

---

The following is a DFT calculation (GGA-PBE) of Mn2Fe2Cu after structural relaxation.

a = 6.820 Å, b = 6.820 Å, c = 2.482 Å
α = 90.00°, β = 90.00°, γ = 90.00°
Element x y z (fractional)
Mn  0.122  0.378  0.000
Mn  0.378  0.878  0.000
Mn  0.622  0.122  0.000
Mn  0.878  0.622  0.000
Fe  0.171  0.671  0.500
Fe  0.329  0.171  0.500
Fe  0.671  0.829  0.500
Fe  0.829  0.329  0.500
Cu  0.000  0.000  0.000
Cu  0.500  0.500  0.000

Calculated values
- Magnetic moment: 0.7 μB per formula unit
- Formation enthalpy at 0 K: 25 kJ/mol of atoms
- SG: P4/mbm
- Total energy: -0.5592 Ry per atom

---

The following is a DFT calculation (GGA-PBE) of KLa2 after structural relaxation.

a = 3.832 Å, b = 3.832 Å, c = 10.400 Å
α = 90.00°, β = 90.00°, γ = 120.00°
Element x y z (fractional)
K  0.000  0.000  0.000
La  0.333  0.667  0.363
La  0.667  0.333  0.637

Calculated values
- Magnetic moment: 0.0 μB per formula unit
- Formation enthalpy at 0 K: 19 kJ/mol of atoms
- SG: P-3m1
- Total energy: -0.2542 Ry per atom